Record 1
! GGA-PBE CaRe2BiAu, optimized geometry; values from VASP
! total magnetic moment	2.63	μB per formula unit
! crystal system	tetragonal
! E_form	2.095	eV/atom
! symmetry	P4/mmm (123)
&SYSTEM
  ibrav = 0, nat = 5, ntyp = 4
/
ATOMIC_SPECIES
Ca 40.08 Ca.upf
Re 186.21 Re.upf
Bi 208.98 Bi.upf
Au 196.97 Au.upf
CELL_PARAMETERS angstrom
5.052 0.000 0.000
0.000 5.052 0.000
0.000 0.000 5.694
ATOMIC_POSITIONS crystal
Ca 0.000 0.000 0.000
Re 0.000 0.500 0.500
Re 0.500 0.000 0.500
Bi 0.000 0.000 0.500
Au 0.500 0.500 0.000

Record 2
! GGA-PBE Te3ClF, optimized geometry; values from VASP
! total magnetic moment	0.00	μB per formula unit
! crystal system	cubic
! excess energy over the best structure of this formula in the dataset	0	meV/atom
! symmetry	Pm-3m (221)
! formation energy (no corrections)	169	meV per atom
&SYSTEM
  ibrav = 0, nat = 5, ntyp = 3
/
ATOMIC_SPECIES
Te 127.60 Te.upf
Cl 35.45 Cl.upf
F 19.00 F.upf
CELL_PARAMETERS angstrom
4.972 0.000 0.000
0.000 4.972 0.000
0.000 0.000 4.972
ATOMIC_POSITIONS crystal
Te 0.000 0.000 0.500
Te 0.000 0.500 0.000
Te 0.500 0.000 0.000
Cl 0.500 0.500 0.500
F 0.000 0.000 0.000

Record 3
! GGA-PBE TlTe4W, optimized geometry; values from VASP
! total magnetic moment	0.00	μB per formula unit
! crystal system	monoclinic
! excess energy over the best structure of this formula in the dataset	0	meV/atom
! symmetry	C2/c (15)
! formation energy (no corrections)	13	meV per atom
&SYSTEM
  ibrav = 0, nat = 12, ntyp = 3
/
ATOMIC_SPECIES
Tl 204.38 Tl.upf
Te 127.60 Te.upf
W 183.84 W.upf
CELL_PARAMETERS angstrom
4.726 -6.907 0.000
4.726 6.907 0.000
-2.463 0.000 5.805
ATOMIC_POSITIONS crystal
Tl 0.124 0.876 0.750
Tl 0.876 0.124 0.250
Te 0.183 0.325 0.857
Te 0.242 0.556 0.440
Te 0.325 0.183 0.357
Te 0.444 0.758 0.060
Te 0.556 0.242 0.940
Te 0.675 0.817 0.643
Te 0.758 0.444 0.560
Te 0.817 0.675 0.143
W 0.500 0.500 0.250
W 0.500 0.500 0.750

Density of states at the Fermi level in states/eV/cell, matching the order above: 5.9; 4.6; 5.4